Entry i
Entry from Alexandria: a relaxed structure of CrOsI2 (PBE).

Structure (POSCAR):
```
CrOsI2
1.0
0.000 3.345 3.345
3.345 0.000 3.345
3.345 3.345 0.000
Cr Os I
1 1 2
Direct
0.000 0.000 0.000
0.500 0.500 0.500
0.250 0.250 0.250
0.750 0.750 0.750
```

---

Entry ii
Entry from Alexandria: a relaxed structure of CrOsI2 (PBE).

Structure (POSCAR):
```
CrOsI2
1.0
-2.881 2.881 6.839
2.881 -2.881 6.839
2.881 2.881 -6.839
Cr Os I
2 2 4
Direct
0.000 0.000 0.000
0.750 0.250 0.500
0.250 0.750 0.500
0.500 0.500 0.000
0.141 0.625 0.016
0.375 0.391 0.516
0.609 0.125 0.984
0.875 0.859 0.484
```

---

Short version: entry ii, entry i, most stable first.